Computed, not measured: crystalline Sr3VZn at its relaxed geometry at the GGA-PBE level of DFT.

total moment = 4.47 μB/cell
formation energy = 3.1 eV per formula unit
E above lowest polymorph = 0 meV per atom

```
5
Lattice="-2.976 -3.526 3.814 -0.261 -4.289 -4.169 5.188 -2.239 1.978" Properties=species:S:1:pos:R:3 pbc="T T T"
Sr -0.131 -2.144 -2.084
Sr 2.594 -1.119 0.989
Sr -1.488 -1.763 1.907
Zn 0.000 0.000 0.000
V 0.975 -5.027 0.812
```